# Rb2HgTe2O6

Crystalline Rb2HgTe2O6 at its relaxed geometry (GGA-PBE, Alexandria via LeMat-Bulk).

Cell lengths 7.2826, 5.8340, 8.7745 Å; angles 105.74, 90.00, 128.62 degrees
With the nearest neighbours (Å) after each atom.
Sites, in units of the cell vectors:
1 Rb 0.7178 0.4355 0.2166  5 O 2.87-2.97
2 Rb 0.2822 0.5645 0.7834  5 O 2.87-2.97
3 Hg 0.5000 0.0000 0.5000  2 O 2.04
4 Te 0.8755 0.7510 0.7781  3 O 1.86-1.97
5 Te 0.1245 0.2490 0.2219  3 O 1.86-1.97
6 O 0.7358 0.4717 0.5494  1 Te 1.97, 1 Hg 2.04
7 O 0.1999 0.9981 0.2256  1 Te 1.86
8 O 0.2018 0.0019 0.7744  1 Te 1.86
9 O 0.8001 0.0019 0.7744  1 Te 1.86
10 O 0.7982 0.9981 0.2256  1 Te 1.86
11 O 0.2642 0.5283 0.4506  1 Te 1.97, 1 Hg 2.04

## Properties
energy = -4.58 eV per atom
space-group type = C2/m
crystal system = monoclinic
DOS at the Fermi energy = 0.0 states/eV per cell